A plane-wave DFT calculation with PBE was carried out for InCu14Pt after structural relaxation.

Calculated values
- Spin magnetization: 0.00 μB per formula unit
- SG: Amm2, No. 38
- E_form: -0.309 eV per formula unit
- Final energy: -4.152 eV/atom

Unit cell a=8.528 b=5.258 c=5.258 alpha=60.85 beta=90.00 gamma=90.00
Positions (direct):
In 0.000 0.000 0.000
Cu 0.000 0.502 0.996
Cu 0.000 0.996 0.502
Cu 0.254 0.326 0.326
Cu 0.260 0.825 0.825
Cu 0.263 0.334 0.827
Cu 0.263 0.827 0.334
Cu 0.500 0.159 0.657
Cu 0.500 0.160 0.160
Cu 0.500 0.657 0.159
Cu 0.500 0.661 0.661
Cu 0.737 0.334 0.827
Cu 0.737 0.827 0.334
Cu 0.740 0.825 0.825
Cu 0.746 0.326 0.326
Pt 0.000 0.499 0.499